Density functional theory data (GGA-PBE) for an optimized crystal structure of KCoNi2.

Lattice parameters (Å, degrees): 2.671 3.270 7.601 90.00 90.00 90.00
Last column: magnetic moment on the atom in μB.
Fractional coordinates of all 4 atoms:
Co1 0.500 0.500 0.250  1.77
Ni1 0.000 0.000 0.089  0.63
Ni2 0.000 0.000 0.411  0.63
K1 0.500 0.500 0.750  -0.02

Properties
* ΔE to the lowest computed polymorph: 0.000 eV/atom
* energy: -17.65 eV/cell
* formation energy from the elements: 0.528 eV/atom